VASP calculation (GGA-PBE) on crystalline CaH at its relaxed geometry.

Cell: 6.754 3.380 7.060 Å, 90.00 118.63 90.00°
Fractional coordinates of all 8 atoms:
1 Ca 0.500 0.000 0.500
2 Ca 0.500 0.500 0.000
3 Ca 0.000 0.500 0.000
4 Ca 0.000 0.000 0.500
5 H 0.177 0.000 0.888
6 H 0.823 0.000 0.112
7 H 0.177 0.500 0.388
8 H 0.823 0.500 0.612

Summary:
* final energy: -23.58 eV for the cell shown
* SG: C2/m, No. 12

=====

VASP calculation (GGA-PBE) on crystalline CaH at its relaxed geometry.

Cell: 6.994 6.994 6.994 Å, 90.00 90.00 90.00°
Fractional coordinates of all 16 atoms:
1 Ca 0.318 0.318 0.318
2 Ca 0.318 0.682 0.682
3 Ca 0.682 0.318 0.682
4 Ca 0.682 0.682 0.318
5 Ca 0.818 0.818 0.818
6 Ca 0.818 0.182 0.182
7 Ca 0.182 0.818 0.182
8 Ca 0.182 0.182 0.818
9 H 0.135 0.135 0.135
10 H 0.135 0.865 0.865
11 H 0.865 0.135 0.865
12 H 0.865 0.865 0.135
13 H 0.635 0.635 0.635
14 H 0.635 0.365 0.365
15 H 0.365 0.635 0.365
16 H 0.365 0.365 0.635

Summary:
* final energy: -48.79 eV for the cell shown
* SG: I-43m, No. 217

=====

VASP calculation (GGA-PBE) on crystalline CaH at its relaxed geometry.

Cell: 8.126 10.618 7.559 Å, 90.00 90.00 90.00°
Fractional coordinates of all 32 atoms:
1 Ca 0.227 0.000 0.000
2 Ca 0.773 0.000 0.000
3 Ca 0.023 0.750 0.250
4 Ca 0.477 0.750 0.250
5 Ca 0.227 0.500 0.500
6 Ca 0.773 0.500 0.500
7 Ca 0.023 0.250 0.750
8 Ca 0.477 0.250 0.750
9 Ca 0.727 0.000 0.500
10 Ca 0.273 0.000 0.500
11 Ca 0.523 0.750 0.750
12 Ca 0.977 0.750 0.750
13 Ca 0.727 0.500 0.000
14 Ca 0.273 0.500 0.000
15 Ca 0.523 0.250 0.250
16 Ca 0.977 0.250 0.250
17 H 0.000 0.873 0.000
18 H 0.000 0.127 0.000
19 H 0.250 0.877 0.250
20 H 0.250 0.623 0.250
21 H 0.000 0.373 0.500
22 H 0.000 0.627 0.500
23 H 0.250 0.377 0.750
24 H 0.250 0.123 0.750
25 H 0.500 0.873 0.500
26 H 0.500 0.127 0.500
27 H 0.750 0.877 0.750
28 H 0.750 0.623 0.750
29 H 0.500 0.373 0.000
30 H 0.500 0.627 0.000
31 H 0.750 0.377 0.250
32 H 0.750 0.123 0.250

Summary:
* final energy: -98.22 eV for the cell shown
* SG: Fddd, No. 70

=====

VASP calculation (GGA-PBE) on crystalline CaH at its relaxed geometry.

Cell: 8.781 8.781 3.840 Å, 90.00 90.00 120.00°
Fractional coordinates of all 12 atoms:
1 Ca 0.892 0.304 0.250
2 Ca 0.589 0.892 0.750
3 Ca 0.696 0.589 0.250
4 Ca 0.108 0.696 0.750
5 Ca 0.411 0.108 0.250
6 Ca 0.304 0.411 0.750
7 H 0.635 0.048 0.250
8 H 0.587 0.635 0.750
9 H 0.952 0.587 0.250
10 H 0.365 0.952 0.750
11 H 0.413 0.365 0.250
12 H 0.048 0.413 0.750

Summary:
* final energy: -35.88 eV for the cell shown
* SG: P6_3/m, No. 176

=====

VASP calculation (GGA-PBE) on crystalline CaH5 at its relaxed geometry.

Cell: 2.660 3.593 5.863 Å, 107.84 90.00 90.00°
Fractional coordinates of all 6 atoms:
1 H 0.500 0.818 0.637
2 H 0.000 0.808 0.615
3 H 0.500 0.500 0.000
4 H 0.000 0.192 0.385
5 H 0.500 0.182 0.363
6 Ca 0.000 0.000 0.000

Summary:
* final energy: -17.11 eV for the cell shown
* SG: Cmmm, No. 65

=====

VASP calculation (GGA-PBE) on crystalline Ca3H2 at its relaxed geometry.

Cell: 6.646 6.665 6.680 Å, 60.07 80.60 70.89°
Fractional coordinates of all 10 atoms:
1 Ca 0.887 0.542 0.819
2 Ca 0.870 0.889 0.166
3 Ca 0.370 0.055 0.834
4 Ca 0.871 0.192 0.519
5 Ca 0.387 0.361 0.181
6 Ca 0.371 0.711 0.481
7 H 0.000 0.166 0.837
8 H 0.500 0.003 0.163
9 H 0.502 0.331 0.506
10 H 0.002 0.837 0.494

Summary:
* final energy: -27.77 eV for the cell shown
* SG: Cc, No. 9

=====

VASP calculation (GGA-PBE) on crystalline CaH at its relaxed geometry.

Cell: 3.803 3.803 19.400 Å, 90.00 90.00 120.00°
Fractional coordinates of all 12 atoms:
1 Ca 0.000 0.000 0.256
2 Ca 0.000 0.000 0.744
3 Ca 0.333 0.667 0.923
4 Ca 0.333 0.667 0.410
5 Ca 0.667 0.333 0.590
6 Ca 0.667 0.333 0.077
7 H 0.000 0.000 0.626
8 H 0.000 0.000 0.374
9 H 0.333 0.667 0.293
10 H 0.333 0.667 0.041
11 H 0.667 0.333 0.959
12 H 0.667 0.333 0.707

Summary:
* final energy: -36.74 eV for the cell shown
* SG: R-3m, No. 166

=====

VASP calculation (GGA-PBE) on crystalline CaH at its relaxed geometry.

Cell: 6.407 6.407 3.816 Å, 90.00 90.00 90.00°
Fractional coordinates of all 8 atoms:
1 Ca 0.298 0.298 0.000
2 Ca 0.798 0.202 0.500
3 Ca 0.202 0.798 0.500
4 Ca 0.702 0.702 0.000
5 H 0.348 0.652 0.000
6 H 0.848 0.848 0.500
7 H 0.152 0.152 0.500
8 H 0.652 0.348 0.000

Summary:
* final energy: -23.85 eV for the cell shown
* SG: P4_2/mnm, No. 136

=====

VASP calculation (GGA-PBE) on crystalline CaH at its relaxed geometry.

Cell: 3.621 3.621 3.621 Å, 60.00 60.00 60.00°
Fractional coordinates of all 2 atoms:
1 H 0.000 0.000 0.000
2 Ca 0.500 0.500 0.500

Summary:
* final energy: -5.74 eV for the cell shown
* SG: Fm-3m, No. 225

=====

VASP calculation (GGA-PBE) on crystalline CaH at its relaxed geometry.

Cell: 9.520 9.520 3.792 Å, 90.00 90.00 90.00°
Fractional coordinates of all 16 atoms:
1 Ca 0.751 0.417 0.500
2 Ca 0.249 0.583 0.500
3 Ca 0.583 0.751 0.500
4 Ca 0.417 0.249 0.500
5 Ca 0.931 0.691 0.000
6 Ca 0.069 0.309 0.000
7 Ca 0.309 0.931 0.000
8 Ca 0.691 0.069 0.000
9 H 0.799 0.650 0.500
10 H 0.201 0.350 0.500
11 H 0.350 0.799 0.500
12 H 0.650 0.201 0.500
13 H 0.872 0.453 0.000
14 H 0.128 0.547 0.000
15 H 0.547 0.872 0.000
16 H 0.453 0.128 0.000

Summary:
* final energy: -47.41 eV for the cell shown
* SG: P4/m, No. 83

=====

VASP calculation (GGA-PBE) on crystalline CaH at its relaxed geometry.

Cell: 3.564 10.461 5.880 Å, 90.00 90.00 90.00°
Fractional coordinates of all 12 atoms:
1 Ca 0.000 0.167 0.711
2 Ca 0.000 0.833 0.711
3 Ca 0.000 0.667 0.211
4 Ca 0.000 0.333 0.211
5 Ca 0.500 0.000 0.237
6 Ca 0.500 0.500 0.737
7 H 0.500 0.715 0.933
8 H 0.500 0.285 0.933
9 H 0.500 0.215 0.433
10 H 0.500 0.785 0.433
11 H 0.000 0.000 0.472
12 H 0.000 0.500 0.972

Summary:
* final energy: -36.14 eV for the cell shown
* SG: Amm2, No. 38

=====

VASP calculation (GGA-PBE) on crystalline Ca2H at its relaxed geometry.

Cell: 3.583 6.171 13.893 Å, 90.00 90.00 90.00°
Fractional coordinates of all 12 atoms:
1 Ca 0.250 0.757 0.946
2 Ca 0.250 0.743 0.446
3 Ca 0.250 0.231 0.810
4 Ca 0.750 0.257 0.554
5 Ca 0.750 0.243 0.054
6 Ca 0.750 0.769 0.190
7 Ca 0.250 0.269 0.310
8 Ca 0.750 0.731 0.690
9 H 0.750 0.476 0.410
10 H 0.750 0.024 0.910
11 H 0.250 0.976 0.090
12 H 0.250 0.524 0.590

Summary:
* final energy: -31.59 eV for the cell shown
* SG: Pnma, No. 62